VASP calculation (PBE) on an optimized crystal structure of PrN4.

abc: 4.0790 6.5082 6.5111
angles: 72.21 87.79 87.71
Closest atoms and distances in Å follow each position.
Fractional coordinates of all 10 atoms:
Pr (0.0000, 0.0000, 0.0000)  6 N 2.41-2.64
Pr (0.1017, 0.5903, 0.5918)  6 N 2.41-2.64
N (0.0161, 0.2417, 0.2457)  1 N 1.14
N (0.0864, 0.3454, 0.3493)  1 N 1.14
N (0.4096, 0.8157, 0.8114)  1 N 1.20
N (0.4247, 0.2485, 0.8338)  1 N 1.22
N (0.4246, 0.8297, 0.2484)  1 N 1.22
N (0.6768, 0.3428, 0.7606)  1 N 1.22
N (0.6774, 0.7579, 0.3425)  1 N 1.22
N (0.6920, 0.7793, 0.7757)  1 N 1.20

Values from the calculation:
Its formation energy without anion corrections is -0.35 eV per atom. The calculation puts the energy above the most stable polymorph in this dataset at 0 kJ/mol of formula units. As for the density of states at the Fermi level: 0.37 states/eV/atom. The space group is P1. As for the magnetization: 0.0 μB per formula unit.


VASP calculation (PBE) on an optimized crystal structure of PrN.

abc: 3.9364 3.9364 3.9364
angles: 60.00 60.00 60.00
Closest atoms and distances in Å follow each position.
Fractional coordinates of all 2 atoms:
Pr (0.0000, 0.0000, 0.0000)  4 N 2.41
N (0.7500, 0.7500, 0.7500)  4 Pr 2.41

Values from the calculation:
Its formation energy without anion corrections is -1.17 eV per atom. As for the density of states at the Fermi level: 0.00 states/eV/atom. The space group is F-43m. As for the magnetization: 0.0 μB per formula unit.


VASP calculation (PBE) on an optimized crystal structure of PrN.

abc: 3.1608 3.1608 3.1608
angles: 90.00 90.00 90.00
Closest atoms and distances in Å follow each position.
Fractional coordinates of all 2 atoms:
Pr (0.0000, 0.0000, 0.0000)  8 N 2.74
N (0.5000, 0.5000, 0.5000)  8 Pr 2.74

Values from the calculation:
Its formation energy without anion corrections is -0.53 eV per atom. As for the density of states at the Fermi level: 0.44 states/eV/atom. The space group is Pm-3m. As for the magnetization: 0.0 μB per formula unit.


VASP calculation (PBE) on an optimized crystal structure of Pr3N.

abc: 6.8571 6.8571 6.8571
angles: 115.60 88.20 126.82
Closest atoms and distances in Å follow each position.
Fractional coordinates of all 8 atoms:
Pr (0.1767, 0.0000, 0.6767)  2 N 2.49
Pr (0.1767, 0.5000, 0.1767)  2 N 2.49
Pr (0.4540, 0.2040, 0.2500)  2 N 2.76
Pr (0.5460, 0.7960, 0.7500)  2 N 2.76
Pr (0.8233, 0.0000, 0.3233)  2 N 2.49
Pr (0.8233, 0.5000, 0.8233)  2 N 2.49
N (0.0000, 0.0000, 0.0000)  6 Pr 2.49-2.76
N (0.5000, 0.0000, 0.5000)  6 Pr 2.49-2.76

Values from the calculation:
Its formation energy without anion corrections is -0.53 eV per atom. The calculation puts the energy above the most stable polymorph in this dataset at 0 kJ/mol of formula units. As for the density of states at the Fermi level: 1.10 states/eV/atom. The space group is Imma. As for the magnetization: 0.0 μB per formula unit.


Which of these has the highest density of states at the Fermi level?
Pr3N


The highest formation energy without anion corrections belongs to which entry?
PrN4


Which formula does entry 1 have?
PrN4


Please write out number 4 again, unchanged.
VASP calculation (PBE) on an optimized crystal structure of Pr3N.

abc: 6.8571 6.8571 6.8571
angles: 115.60 88.20 126.82
Closest atoms and distances in Å follow each position.
Fractional coordinates of all 8 atoms:
Pr (0.1767, 0.0000, 0.6767)  2 N 2.49
Pr (0.1767, 0.5000, 0.1767)  2 N 2.49
Pr (0.4540, 0.2040, 0.2500)  2 N 2.76
Pr (0.5460, 0.7960, 0.7500)  2 N 2.76
Pr (0.8233, 0.0000, 0.3233)  2 N 2.49
Pr (0.8233, 0.5000, 0.8233)  2 N 2.49
N (0.0000, 0.0000, 0.0000)  6 Pr 2.49-2.76
N (0.5000, 0.0000, 0.5000)  6 Pr 2.49-2.76

Values from the calculation:
Its formation energy without anion corrections is -0.53 eV per atom. The calculation puts the energy above the most stable polymorph in this dataset at 0 kJ/mol of formula units. As for the density of states at the Fermi level: 1.10 states/eV/atom. The space group is Imma. As for the magnetization: 0.0 μB per formula unit.